Record 1
Below is a relaxed Tl4Hg2Au crystal, with properties calculated at the GGA-PBE level.

Geometry as extended XYZ:
```
14
Lattice="7.2208 0.1386 -2.1087 1.8063 6.9918 -2.1112 0.0228 0.0210 8.3522" Properties=species:S:1:pos:R:3 pbc="T T T"
Tl 2.0520 4.5725 2.2723
Tl 1.0064 0.7954 2.2007
Tl 5.3802 1.2480 -1.8213
Tl 5.5585 4.3919 -0.1894
Tl 2.4596 4.9446 -1.8228
Tl 4.9224 0.9393 2.2736
Tl 0.9068 0.7192 6.5060
Tl 5.7320 4.5295 4.6662
Hg 4.6315 6.3269 2.2453
Hg 3.1901 2.5219 4.5569
Hg 7.2261 3.0428 2.2456
Hg 2.8761 2.2723 0.0817
Au 7.5759 5.9847 -1.9200
Au 7.5579 5.9720 2.4219
```

Output
DFT formation energy, eV/atom: 0.0003
Calculated density, g/cm³: 11.19

***

Record 2
Below is a relaxed Tl3Hg2Au4 crystal, with properties calculated at the GGA-PBE level.

Geometry as extended XYZ:
```
9
Lattice="-3.1728 3.6436 0.1703 -5.6846 -0.5303 -4.2669 -9.0514 -4.2274 1.0087" Properties=species:S:1:pos:R:3 pbc="T T T"
Au -13.7759 -1.2983 -1.2714
Au -11.6771 0.6351 -1.9782
Au -4.1329 0.1842 -1.8166
Au -6.2318 -1.7492 -1.1097
Hg -11.3099 -2.2495 -2.3814
Hg -6.5990 1.1355 -0.7065
Tl -8.8647 -0.1242 -3.2436
Tl -9.0442 -0.9898 0.1556
Tl 0.0000 0.0000 0.0000
```

Output
DFT formation energy, eV/atom: 0.0152
Calculated density, g/cm³: 13.37

***

Record 3
Below is a relaxed Tl2HgAu2 crystal, with properties calculated at the GGA-PBE level.

Geometry as extended XYZ:
```
5
Lattice="-1.6989 -5.1838 2.0685 4.1358 0.2827 4.1051 -1.4160 -0.5795 5.6122" Properties=species:S:1:pos:R:3 pbc="T T T"
Tl -0.9482 -4.1069 5.3838
Tl 1.9691 -1.3737 6.4021
Hg 0.0000 0.0000 0.0000
Au 0.6593 -3.6386 7.8776
Au 0.3616 -1.8420 3.9082
```

Output
DFT formation energy, eV/atom: 0.0190
Calculated density, g/cm³: 11.93

***

Record 4
Below is a relaxed TlHgAu2 crystal, with properties calculated at the GGA-PBE level.

Geometry as extended XYZ:
```
4
Lattice="-5.9147 -2.9408 1.0831 -4.0529 -4.8125 -2.2844 -2.8189 -5.8330 1.6835" Properties=species:S:1:pos:R:3 pbc="T T T"
Hg -3.1966 -3.3966 0.1205
Au -6.4589 -6.8629 0.2436
Au -12.7208 -13.5165 0.4797
Tl -9.5899 -10.1897 0.3616
```

Output
DFT formation energy, eV/atom: 0.0781
Calculated density, g/cm³: 13.45